Compound: LaYHg2N
Source: Alexandria
Functional: PBE-GGA
Structure: optimized geometry

Structure (extended XYZ):
```
5
Lattice="-3.201 1.051 4.561 3.190 -4.164 3.198 3.639 4.034 1.624" Properties=species:S:1:pos:R:3 pbc="T T T"
La 1.595 -2.082 1.599
Hg 1.819 2.017 0.812
Hg -1.600 0.526 2.281
Y 0.000 0.000 0.000
N 1.814 0.461 4.691
```

raw total energy: -2.52 eV per atom
uncorrected formation energy: 1.547 eV/atom

---

Compound: Sm3Si2NiPt9
Source: Alexandria
Functional: PBE-GGA
Structure: optimized geometry

Structure (extended XYZ):
```
15
Lattice="-1.671 4.055 4.615 -4.086 -1.338 -4.695 -3.226 -6.699 4.717" Properties=species:S:1:pos:R:3 pbc="T T T"
Sm -5.540 -4.232 1.711
Sm -3.443 0.249 2.926
Sm 0.000 0.000 0.000
Si -3.880 -0.784 -0.716
Si -5.104 -3.199 5.353
Pt -3.380 -3.858 4.041
Pt -2.043 -0.669 -2.348
Pt -2.306 -1.681 0.642
Pt -5.603 -0.125 0.596
Pt -0.836 2.027 2.308
Pt -4.646 -2.447 -2.048
Pt -2.879 1.358 -0.040
Pt -4.337 -1.536 6.685
Pt -6.678 -2.302 3.995
Ni -1.613 -3.349 2.358
```

raw total energy: -6.35 eV per atom
uncorrected formation energy: -0.672 eV/atom

---

Compound: NdY2Ag2Sn2
Source: Alexandria
Functional: PBE-GGA
Structure: optimized geometry

Structure (extended XYZ):
```
7
Lattice="-4.043 -0.989 2.573 0.290 -0.724 4.830 -2.481 7.983 3.823" Properties=species:S:1:pos:R:3 pbc="T T T"
Y -4.249 1.736 7.949
Y -1.985 4.533 3.277
Nd 0.000 0.000 0.000
Sn -1.509 1.226 2.752
Sn -4.724 5.044 8.474
Ag -3.345 4.722 5.865
Ag -2.889 1.547 5.361
```

ΔH_f (0 K): -446 meV per atom
raw total energy: -4.93 eV per atom